The following is a DFT calculation (PBE) of an optimized crystal structure of CsRb6Cd6.

Unit cell a=7.2743 b=12.9804 c=13.1019 alpha=90.00 beta=90.00 gamma=90.00
Space group Immm (No. 71)
Inequivalent atoms, fractional coordinates:
Cs 0.0000 0.0000 0.0000 (multiplicity 2)
Rb 0.0000 0.0000 0.3449 (multiplicity 4)
Rb 0.0000 0.3221 0.0000 (multiplicity 4)
Rb 0.0000 0.5000 0.3206 (multiplicity 4)
Cd 0.0000 0.2646 0.5000 (multiplicity 4)
Cd 0.2500 0.2500 0.2500 (multiplicity 8)

Summary:
formation energy: 34 meV/atom
E: -23.42 eV for the cell shown
V: 47.58 Å³ per atom